The following is a DFT calculation (PBE-GGA) of an optimized crystal structure of Li2VCoSe.

a b c (Å): 4.5009 4.5009 4.3838
angles (deg): 90.00 90.00 90.00
Space group P4/mmm (No. 123)
Asymmetric unit:
Li (0.0000, 0.5000, 0.0000) [2 per cell]
V (0.0000, 0.0000, 0.5000) [1 per cell]
Co (0.5000, 0.5000, 0.5000) [1 per cell]
Se (0.5000, 0.5000, 0.0000) [1 per cell]

The following is a DFT calculation (PBE-GGA) of an optimized crystal structure of LiVCo2Se.

a b c (Å): 4.3177 4.3177 4.7424
angles (deg): 90.00 90.00 90.00
Space group P4/mmm (No. 123)
Asymmetric unit:
Li (0.0000, 0.0000, 0.0000) [1 per cell]
V (0.5000, 0.5000, 0.5000) [1 per cell]
Co (0.0000, 0.5000, 0.5000) [2 per cell]
Se (0.5000, 0.5000, 0.0000) [1 per cell]

The following is a DFT calculation (PBE-GGA) of an optimized crystal structure of Li3Zr3CoSe8.

a b c (Å): 12.9828 7.4840 7.8754
angles (deg): 90.00 123.38 90.00
Space group C2/m (No. 12)
Asymmetric unit:
Li (0.0000, 0.0000, 0.0000) [2 per cell]
Li (0.2500, 0.2500, 0.0000) [4 per cell]
Zr (0.0000, 0.5000, 0.5000) [2 per cell]
Zr (0.2500, 0.2500, 0.5000) [4 per cell]
Co (0.0000, 0.0000, 0.5000) [2 per cell]
Se (0.0003, 0.2348, 0.2662) [8 per cell]
Se (0.2348, 0.0000, 0.7339) [4 per cell]
Se (0.2494, 0.0000, 0.2482) [4 per cell]

The following is a DFT calculation (PBE-GGA) of an optimized crystal structure of LiCo2Si.

a b c (Å): 6.2749 6.2749 4.9548
angles (deg): 90.00 90.00 90.00
Space group I-42d (No. 122)
Asymmetric unit:
Li (0.0000, 0.0000, 0.0000) [4 per cell]
Co (0.2248, 0.7500, 0.6250) [8 per cell]
Si (0.0000, 0.0000, 0.5000) [4 per cell]

The following is a DFT calculation (PBE-GGA) of an optimized crystal structure of LiCo3Si.

a b c (Å): 3.8113 3.8113 3.8113
angles (deg): 90.00 90.00 90.00
Space group Pm-3m (No. 221)
Asymmetric unit:
Li (0.0000, 0.0000, 0.0000) [1 per cell]
Co (0.0000, 0.0000, 0.5000) [3 per cell]
Si (0.5000, 0.5000, 0.5000) [1 per cell]

## Properties
Energy above the lowest structure with this stoichiometry = 306 meV/atom

The following is a DFT calculation (PBE-GGA) of an optimized crystal structure of LiCo3Si.

a b c (Å): 4.2332 4.2332 4.2332
angles (deg): 90.00 90.00 90.00
Space group Pm-3m (No. 221)
Asymmetric unit:
Li (0.0000, 0.0000, 0.0000) [1 per cell]
Co (0.0000, 0.5000, 0.5000) [3 per cell]
Si (0.5000, 0.5000, 0.5000) [1 per cell]

## Properties
Energy above the lowest structure with this stoichiometry = 0 meV/atom

The following is a DFT calculation (PBE-GGA) of an optimized crystal structure of LiCo2Si.

a b c (Å): 3.8737 3.8737 2.7536
angles (deg): 90.00 90.00 90.00
Space group P4/mmm (No. 123)
Asymmetric unit:
Li (0.0000, 0.0000, 0.0000) [1 per cell]
Co (0.0000, 0.5000, 0.5000) [2 per cell]
Si (0.5000, 0.5000, 0.0000) [1 per cell]

The following is a DFT calculation (PBE-GGA) of an optimized crystal structure of LiCo2Si.

a b c (Å): 2.6282 2.6282 23.5826
angles (deg): 90.00 90.00 120.00
Space group R-3m (No. 166, hexagonal axes)
Asymmetric unit:
Li (0.0000, 0.0000, 0.0000) [3 per cell]
Co (0.0000, 0.0000, 0.2413) [6 per cell]
Si (0.0000, 0.0000, 0.5000) [3 per cell]

The following is a DFT calculation (PBE-GGA) of an optimized crystal structure of LiCo2Si.

a b c (Å): 2.9109 2.9109 5.2755
angles (deg): 90.00 90.00 90.00
Space group P4mm (No. 99)
Asymmetric unit:
Li (0.0000, 0.0000, 0.0000) [1 per cell]
Co (0.0000, 0.0000, 0.4979) [1 per cell]
Co (0.5000, 0.5000, 0.7605) [1 per cell]
Si (0.5000, 0.5000, 0.2662) [1 per cell]

The following is a DFT calculation (PBE-GGA) of an optimized crystal structure of LiCo2Si3.

a b c (Å): 8.7905 7.4416 4.9662
angles (deg): 90.00 90.00 90.00
Space group Cmcm (No. 63)
Asymmetric unit:
Li (0.0000, 0.1044, 0.2500) [4 per cell]
Co (0.2161, 0.5000, 0.0000) [8 per cell]
Si (0.0000, 0.4611, 0.7500) [4 per cell]
Si (0.1850, 0.2264, 0.7500) [8 per cell]

The following is a DFT calculation (PBE-GGA) of an optimized crystal structure of Li4CoSi.

a b c (Å): 6.5521 6.5521 6.5521
angles (deg): 90.00 90.00 90.00
Space group F-43m (No. 216)
Asymmetric unit:
Li (0.1242, 0.1242, 0.3758) [16 per cell]
Co (0.2500, 0.2500, 0.7500) [4 per cell]
Si (0.0000, 0.0000, 0.0000) [4 per cell]

The following is a DFT calculation (PBE-GGA) of an optimized crystal structure of LiCoSi3.

a b c (Å): 4.3787 4.3787 4.3787
angles (deg): 90.00 90.00 90.00
Space group Pm-3m (No. 221)
Asymmetric unit:
Li (0.0000, 0.0000, 0.0000) [1 per cell]
Co (0.5000, 0.5000, 0.5000) [1 per cell]
Si (0.0000, 0.5000, 0.5000) [3 per cell]

## Properties
Energy above the lowest structure with this stoichiometry = 0 meV/atom

In the order shown, the computed D(E_F) values come out to 2.27 1.45 0.41 1.51 1.40 2.21 1.01 0.80 0.59 0.64 0.63 0.90 states/eV per atom.
In the order shown, the computed ΔE_f (raw) values come out to 638 559 -1120 192 816 510 -296 -43 -70 -362 190 259 meV per atom.
In the order shown, the computed total moment values come out to 0.15 1.28 1.15 1.28 2.02 3.52 0.00 1.31 2.62 0.00 0.04 0.00 μB/f.u..